Compound: TbCrFe2
Source: the Alexandria database
Functional: PBE
Structure: relaxed

Values from the calculation:
- magnetic moment (μB/f.u.) = 2.6
- E (eV per cell) = -28.672

a = 2.958 Å, b = 2.958 Å, c = 8.424 Å
α = 79.89°, β = 79.89°, γ = 60.00°
Sites, in units of the cell vectors:
1 Fe 0.266 0.266 0.203
2 Tb 0.500 0.500 0.500
3 Cr 0.000 0.000 0.000
4 Fe 0.734 0.734 0.797